Na2PuPO8: relaxed, PBE.

For the raw formation energy, the calculation gives -1.237 eV/atom. The crystal system is trigonal. The calculated density is 4969 kg/m3.

The space group is P-3m1 (No. 164) and the conventional cell measures 5.5742, 5.5742 and 5.5754 Å, with angles of 90.00, 90.00 and 120.00 degrees. Symmetry generates all atoms from Na at (0.3333, 0.6667, 0.4418), Pu at (0.0000, 0.0000, 0.0000), P at (0.0000, 0.0000, 0.5000), O at (0.1407, 0.2813, 0.6863) and O at (0.3333, 0.6667, 0.0334).

PuInGe: relaxed, PBE.

The value obtained for the offset from the most stable computed form is 0.1119 eV/atom. The formation energy is -0.46 eV per formula unit. The crystal system is tetragonal. The calculated density is 9555 kg/m3.

The space group is I4/mmm (No. 139) and the conventional cell measures 4.535, 4.535 and 14.585 Å, with angles of 90.00, 90.00 and 90.00 degrees. Symmetry generates all atoms from Pu at (0.000, 0.000, 0.134), In at (0.000, 0.000, 0.353) and Ge at (0.000, 0.500, 0.000).

SrCaTiIr2: relaxed, PBE.

The formation energy is 9.26 eV per formula unit. The crystal system is tetragonal. The calculated density is 7425 kg/m3.

The space group is P4/mmm (No. 123) and the conventional cell measures 5.010, 5.010 and 4.990 Å, with angles of 90.00, 90.00 and 90.00 degrees. Symmetry generates all atoms from Sr at (0.000, 0.000, 0.000), Ca at (0.000, 0.000, 0.500), Ti at (0.500, 0.500, 0.500) and Ir at (0.000, 0.500, 0.000).

Tl8As: relaxed, PBE.

The value obtained for the offset from the most stable computed form is 0.0000 eV/atom. The formation energy is 0.31 eV per formula unit. The crystal system is orthorhombic. The calculated density is 10521 kg/m3.

The space group is Fmmm (No. 69) and the conventional cell measures 5.209, 12.886 and 16.082 Å, with angles of 90.00, 90.00 and 90.00 degrees. Symmetry generates all atoms from Tl at (0.000, 0.000, 0.174), Tl at (0.000, 0.147, 0.000), Tl at (0.000, 0.163, 0.345) and As at (0.000, 0.000, 0.500).